(1)
BeNbNi14 (PBE-GGA, optimized geometry); DFT formation energy = -0.08 eV/atom; space-group type = No. 123; magnetic moment = 5.76 Bohr magnetons per cell
1.0
-2.001 -4.507 0.984
4.528 -1.714 1.357
-1.236 2.001 6.653
Be Nb Ni
1 1 14
Cartesian
0.330 -1.332 4.204
1.593 -4.443 5.375
2.211 -5.443 2.048
0.948 -2.333 0.878
-0.671 -3.586 4.696
-0.053 -4.586 1.369
2.594 -2.189 4.883
3.212 -3.190 1.556
-0.951 -2.518 2.436
-1.575 -1.509 5.791
2.234 -1.155 2.618
1.611 -0.146 5.973
1.258 -3.354 3.098
0.634 -2.345 6.453
0.025 -0.319 1.956
-0.599 0.690 5.311

***

(2)
HfTiNi2 (PBE-GGA, optimized geometry); DFT formation energy = -0.46 eV/atom; space-group type = No. 11; energy relative to the lowest polymorph listed for this composition = 0.00 eV/f.u.; magnetic moment = 0.00 Bohr magnetons per cell
1.0
4.049 0.000 0.000
0.000 4.875 -1.602
0.000 -0.397 6.237
Hf Ti Ni
2 2 4
Cartesian
1.012 1.336 0.056
3.037 3.142 4.579
3.037 3.329 1.474
1.012 1.149 3.161
1.012 3.990 0.061
3.037 0.488 4.574
3.037 0.723 1.738
1.012 3.755 2.897

***

(3)
TlHg2Sb2Pb2 (PBE-GGA, optimized geometry); space-group type = No. 164; magnetic moment = 0.00 Bohr magnetons per cell; uncorrected energy = -17.93 eV for the cell shown
1.0
5.650 0.000 0.000
-2.825 4.893 0.000
0.000 0.000 8.906
Tl Hg Sb Pb
1 2 2 2
Cartesian
0.000 0.000 0.000
0.000 0.000 5.898
0.000 0.000 3.008
2.825 1.631 2.483
0.000 3.262 6.423
2.825 1.631 5.597
0.000 3.262 3.310

***

(4)
CdB2F8 (PBE-GGA, optimized geometry); space-group type = No. 61; energy relative to the lowest polymorph listed for this composition = 0.00 eV/f.u.; magnetic moment = 0.00 Bohr magnetons per cell
1.0
8.876 0.000 0.000
0.000 9.264 0.000
0.000 0.000 13.500
Cd B F
8 16 64
Cartesian
1.938 4.339 8.144
6.938 0.293 1.394
2.500 8.971 5.356
6.376 4.925 12.107
6.938 4.925 5.356
6.376 0.293 8.144
2.500 4.339 1.394
1.938 8.971 12.107
0.034 2.569 12.720
7.246 3.648 8.888
1.631 5.617 4.612
7.246 8.280 11.362
8.843 6.695 0.781
2.808 0.984 8.888
4.472 6.695 7.531
2.808 5.617 11.362
4.404 2.569 5.969
6.069 8.280 4.612
6.069 3.648 2.138
1.631 0.984 2.138
8.843 2.063 5.969
4.472 2.063 12.720
0.034 7.201 7.531
4.404 7.201 0.781
0.229 5.433 4.508
6.588 4.521 9.791
5.108 3.477 5.140
0.678 3.277 0.254
2.369 5.344 12.679
4.667 3.832 2.242
2.149 0.111 9.791
8.207 3.477 11.890
5.404 2.780 11.928
6.508 8.553 5.929
2.289 4.743 3.710
2.289 0.111 3.041
7.911 7.412 1.572
3.761 3.277 7.005
6.409 6.939 4.278
8.199 1.355 7.005
5.317 1.637 6.536
5.116 1.355 0.254
0.229 0.801 2.242
2.467 6.957 11.028
0.678 7.909 6.496
0.879 7.628 0.214
6.409 2.307 2.472
4.667 8.464 4.508
0.966 6.485 8.322
6.905 6.939 11.028
6.807 3.920 7.571
5.108 8.110 1.610
4.210 5.433 11.258
2.369 0.712 7.571
1.971 6.957 4.278
7.911 2.780 5.178
3.472 1.852 5.178
8.648 8.464 11.258
2.069 5.344 5.929
8.207 8.110 8.360
0.879 2.996 6.536
6.807 8.553 12.679
6.727 9.153 3.710
3.769 1.155 11.890
8.199 5.988 13.246
3.769 5.787 8.360
6.508 3.920 0.821
7.998 6.269 6.964
3.472 6.485 1.572
0.966 1.852 11.928
5.404 7.412 8.322
6.905 2.307 9.222
3.560 2.996 13.286
3.560 7.628 6.964
0.669 5.787 1.610
7.998 1.637 13.286
0.669 1.155 5.140
5.116 5.988 6.496
2.467 2.325 9.222
6.727 4.521 3.041
6.588 9.153 10.460
3.761 7.909 13.246
5.317 6.269 0.214
4.210 0.801 8.993
2.069 0.712 0.821
1.971 2.325 2.472
8.648 3.832 8.993
2.149 4.743 10.460

***

(5)
KLiTl2 (PBE-GGA, optimized geometry); DFT formation energy = -0.13 eV/atom; space-group type = No. 12; energy relative to the lowest polymorph listed for this composition = 0.00 eV/f.u.; magnetic moment = 0.00 Bohr magnetons per cell
1.0
-2.745 -4.208 -0.244
-1.050 -2.067 -4.464
4.007 -5.522 -1.192
Tl K Li
2 1 1
Cartesian
-2.979 -6.803 -4.648
-0.709 -5.370 -3.009
0.159 -8.847 -4.425
0.053 -2.949 -1.475

***

(6)
Cs3MgRe (PBE-GGA, optimized geometry); DFT formation energy = 1.46 eV/atom; space-group type = No. 221; energy relative to the lowest polymorph listed for this composition = 0.00 eV/f.u.; magnetic moment = 2.00 Bohr magnetons per cell
1.0
6.408 0.000 0.000
0.000 6.408 0.000
0.000 0.000 6.408
Cs Re Mg
3 1 1
Cartesian
0.000 3.204 0.000
0.000 0.000 3.204
3.204 0.000 0.000
0.000 0.000 0.000
3.204 3.204 3.204

***

(7)
TaV2P (PBE-GGA, optimized geometry); DFT formation energy = 0.05 eV/atom; space-group type = No. 122; energy relative to the lowest polymorph listed for this composition = 2.98 eV/f.u.; magnetic moment = 0.00 Bohr magnetons per cell
1.0
7.219 0.000 0.000
0.000 7.219 0.000
3.610 3.610 2.422
P Ta V
2 2 4
Cartesian
3.610 3.610 0.000
3.610 7.219 1.211
0.000 0.000 0.000
7.219 3.610 1.211
4.887 1.805 0.605
2.332 5.415 0.605
5.415 5.942 1.816
9.024 8.497 1.816

***

(8)
PmAg2F6 (PBE-GGA, optimized geometry); space-group type = No. 12; energy relative to the lowest polymorph listed for this composition = 0.00 eV/f.u.; magnetic moment = 1.06 Bohr magnetons per cell
1.0
-3.108 -0.218 -2.713
2.260 -2.547 -5.530
-1.722 -6.443 -0.655
Pm Ag F
1 2 6
Cartesian
0.269 -4.495 -3.092
-0.305 -7.657 -5.326
-2.265 -1.551 -3.571
-2.581 -7.035 -5.913
0.012 -2.173 -2.984
-1.477 -3.697 -7.447
-0.573 -5.357 -5.204
-1.093 -5.511 -1.450
-1.996 -3.851 -3.694

***

(9)
Tl2CrSe (PBE-GGA, optimized geometry); space-group type = No. 166; energy relative to the lowest polymorph listed for this composition = 1.31 eV/f.u.; magnetic moment = 4.71 Bohr magnetons per cell
1.0
-4.974 -4.377 4.530
-1.800 -3.874 6.796
-4.514 -1.039 6.556
Cr Se Tl
1 1 2
Cartesian
-8.466 -6.968 13.411
-2.822 -2.323 4.470
-11.284 -9.287 17.875
-5.648 -4.649 8.947

***

(10)
HfThSc6 (PBE-GGA, optimized geometry); DFT formation energy = 0.10 eV/atom; space-group type = No. 12; energy relative to the lowest polymorph listed for this composition = 0.37 eV/f.u.; magnetic moment = 0.00 Bohr magnetons per cell
1.0
4.862 0.000 1.821
1.013 6.538 4.697
-0.117 2.249 7.714
Hf Th Sc
1 1 6
Cartesian
2.879 4.394 7.116
0.000 0.000 0.000
1.978 6.771 9.520
1.952 1.432 2.188
4.737 5.391 9.555
3.805 7.355 12.044
3.779 2.016 4.712
1.020 3.396 4.678

***

(11)
YAsS2Cl (PBE-GGA, optimized geometry); space-group type = No. 123; energy relative to the lowest polymorph listed for this composition = 0.00 eV/f.u.; magnetic moment = 0.00 Bohr magnetons per cell
1.0
-3.258 -2.669 -2.493
2.991 -3.867 0.231
-2.026 -1.324 4.065
Y As S Cl
1 1 2 1
Cartesian
-1.146 -3.930 0.902
0.000 0.000 0.000
1.496 -1.933 0.116
-1.629 -1.335 -1.246
-1.013 -0.662 2.032

***

(12)
La2Tb2PrY2 (PBE-GGA, optimized geometry); DFT formation energy = 0.03 eV/atom; space-group type = No. 12; magnetic moment = 0.00 Bohr magnetons per cell
1.0
-4.639 -0.763 -2.099
4.804 -1.826 -3.641
-0.788 -6.920 4.258
La Tb Pr Y
2 2 1 2
Cartesian
0.368 -3.589 0.491
-0.991 -5.921 -1.973
-2.532 -5.653 1.336
1.909 -3.857 -2.818
0.000 0.000 0.000
-1.359 -2.300 -2.475
0.736 -7.210 0.994